VASP calculation (PBE) on a geometry-optimized Na3In2Sn3 structure.

abc: 6.3900 6.3900 16.1458
angles: 90.00 90.00 134.70
Last column: nearest neighbours and their distance in Å.
Fractional coordinates of all 16 atoms:
Na 0.0721 0.9279 0.6205  6 Sn 3.33-3.57, 3 In 3.40-3.52
Na 0.0721 0.9279 0.8795  6 Sn 3.33-3.57, 3 In 3.40-3.52
Na 0.3540 0.6460 0.7500  5 Sn 3.38-3.52, 4 In 3.50
Na 0.6460 0.3540 0.2500  5 Sn 3.38-3.52, 4 In 3.50
Na 0.9279 0.0721 0.1205  6 Sn 3.33-3.57, 3 In 3.40-3.52
Na 0.9279 0.0721 0.3795  6 Sn 3.33-3.57, 3 In 3.40-3.52
In 0.2152 0.7848 0.1040  4 Sn 2.90-3.02
In 0.2152 0.7848 0.3960  4 Sn 2.90-3.02
In 0.7848 0.2152 0.6040  4 Sn 2.90-3.02
In 0.7848 0.2152 0.8960  4 Sn 2.90-3.02
Sn 0.3591 0.6409 0.2500  2 In 2.90
Sn 0.3860 0.6140 0.5356  1 Sn 2.92, 3 In 2.95-3.02
Sn 0.3860 0.6140 0.9644  1 Sn 2.92, 3 In 2.95-3.02
Sn 0.6140 0.3860 0.0356  1 Sn 2.92, 3 In 2.95-3.02
Sn 0.6140 0.3860 0.4644  1 Sn 2.92, 3 In 2.95-3.02
Sn 0.6409 0.3591 0.7500  2 In 2.90

Properties
As for the uncorrected energy: -45.42 eV per cell. The value obtained for the energy relative to the elements is -0.158 eV per atom. The calculation puts the total moment at 0.00 μB/f.u.

VASP calculation (PBE) on a geometry-optimized Na2In2Sn structure.

abc: 8.1239 8.1239 8.1239
angles: 148.98 148.98 44.44
Last column: nearest neighbours and their distance in Å.
Fractional coordinates of all 5 atoms:
Na 0.2500 0.7500 0.5000  4 Na 3.07, 4 In 3.20
Na 0.7500 0.2500 0.5000  4 Na 3.07, 4 In 3.20
In 0.0941 0.0941 0.0000  1 In 2.83
In 0.9059 0.9059 0.0000  1 In 2.83
Sn 0.5000 0.5000 0.0000  8 In 3.38

Properties
As for the uncorrected energy: -11.92 eV per cell. The value obtained for the energy relative to the elements is 0.039 eV per atom. For the energy above the lowest structure with this stoichiometry, the calculation gives 157.9 meV per atom. The calculation puts the total moment at 0.00 μB/f.u.

VASP calculation (PBE) on a geometry-optimized Na2InSn5 structure.

abc: 6.6490 6.6490 6.6451
angles: 118.36 118.36 92.85
Last column: nearest neighbours and their distance in Å.
Fractional coordinates of all 8 atoms:
Na 0.2500 0.7500 0.0000  10 Sn 3.32-3.41, 2 In 3.40-3.41
Na 0.7500 0.2500 0.0000  10 Sn 3.32-3.41, 2 In 3.40-3.41
In 0.2490 0.2490 0.4974  8 Sn 3.23-3.42, 4 Na 3.40-3.41
Sn 0.2334 0.2334 0.9689  6 Sn 3.22-3.43, 2 In 3.23-3.42, 4 Na 3.32-3.33
Sn 0.2654 0.7376 0.5011  6 Sn 3.22-3.43, 2 In 3.23-3.42, 4 Na 3.32-3.34
Sn 0.7376 0.2654 0.5011  6 Sn 3.22-3.43, 2 In 3.23-3.42, 4 Na 3.32-3.34
Sn 0.7487 0.7487 0.4976  8 Sn 3.22-3.43, 4 Na 3.40-3.41
Sn 0.7615 0.7615 0.0252  6 Sn 3.22-3.43, 2 In 3.24-3.42, 4 Na 3.32-3.33

Properties
As for the uncorrected energy: -26.24 eV per cell. The value obtained for the energy relative to the elements is -0.107 eV per atom. The calculation puts the total moment at 0.00 μB/f.u.

VASP calculation (PBE) on a geometry-optimized Na4InSn structure.

abc: 9.9185 9.9185 5.4195
angles: 90.00 90.00 142.42
Last column: nearest neighbours and their distance in Å.
Fractional coordinates of all 12 atoms:
Na 0.0398 0.4563 0.2500  5 Na 3.13-3.22, 3 Sn 3.48-3.49
Na 0.2041 0.2875 0.2500  5 Na 3.13-3.25, 1 In 3.49
Na 0.2875 0.2041 0.7500  5 Na 3.13-3.25, 1 In 3.49
Na 0.4563 0.0398 0.7500  5 Na 3.13-3.22, 3 Sn 3.48-3.49
Na 0.5437 0.9602 0.2500  5 Na 3.13-3.22, 3 Sn 3.48-3.49
Na 0.7125 0.7959 0.2500  5 Na 3.13-3.25, 1 In 3.49
Na 0.7959 0.7125 0.7500  5 Na 3.13-3.25, 1 In 3.49
Na 0.9602 0.5437 0.7500  5 Na 3.13-3.22, 3 Sn 3.48-3.49
In 0.3772 0.6228 0.7500  2 Sn 3.20, 12 Na 3.49-3.55
In 0.6228 0.3772 0.2500  2 Sn 3.20, 12 Na 3.49-3.55
Sn 0.1273 0.8727 0.2500  2 In 3.20, 12 Na 3.48-3.54
Sn 0.8727 0.1273 0.7500  2 In 3.20, 12 Na 3.48-3.54

Properties
As for the uncorrected energy: -25.58 eV per cell. The value obtained for the energy relative to the elements is -0.128 eV per atom. For the energy above the lowest structure with this stoichiometry, the calculation gives 0.0 meV per atom. The calculation puts the total moment at 0.00 μB/f.u.

VASP calculation (PBE) on a geometry-optimized NaIn2Sn6 structure.

abc: 9.4501 9.4501 3.1873
angles: 90.00 90.00 119.88
Last column: nearest neighbours and their distance in Å.
Fractional coordinates of all 9 atoms:
Na 0.0000 0.0000 0.0000  2 Na 3.19, 12 Sn 3.52-3.53
In 0.3333 0.6667 0.0000  2 In 3.19, 12 Sn 3.53-3.54
In 0.6667 0.3333 0.0000  2 In 3.19, 12 Sn 3.53-3.54
Sn 0.9998 0.3321 0.5000  5 Sn 3.14-3.19
Sn 0.0002 0.6679 0.5000  5 Sn 3.14-3.19
Sn 0.3321 0.9998 0.5000  5 Sn 3.14-3.19
Sn 0.3326 0.3326 0.5000  5 Sn 3.14-3.19
Sn 0.6674 0.6674 0.5000  5 Sn 3.14-3.19
Sn 0.6679 0.0002 0.5000  5 Sn 3.14-3.19

Properties
As for the uncorrected energy: -30.99 eV per cell. The value obtained for the energy relative to the elements is -0.020 eV per atom. The calculation puts the total moment at 0.00 μB/f.u.

VASP calculation (PBE) on a geometry-optimized Na3In5Sn structure.

abc: 8.9538 8.9538 8.9538
angles: 117.56 117.56 94.28
Last column: nearest neighbours and their distance in Å.
Fractional coordinates of all 18 atoms:
Na 0.1117 0.6117 0.7234  1 Na 2.93, 2 In 3.00
Na 0.2500 0.2500 0.0000  2 In 3.05
Na 0.3883 0.1117 0.5000  1 Na 2.93, 2 In 3.00
Na 0.6117 0.8883 0.5000  1 Na 2.93, 2 In 3.00
Na 0.7500 0.7500 0.0000  2 In 3.05
Na 0.8883 0.3883 0.2766  1 Na 2.93, 2 In 3.00
In 0.0000 0.0000 0.0000  2 Na 3.05
In 0.0612 0.1656 0.5000  1 Sn 2.94, 1 Na 3.00, 1 In 3.08
In 0.1656 0.6656 0.1043  1 Sn 2.94, 1 Na 3.00, 1 In 3.08
In 0.3344 0.4388 0.5000  1 Sn 2.94, 1 Na 3.00, 1 In 3.08
In 0.4388 0.9388 0.1043  1 Sn 2.94, 1 Na 3.00, 1 In 3.08
In 0.5000 0.5000 0.0000  2 Na 3.05
In 0.5612 0.0612 0.8957  1 Sn 2.94, 1 Na 3.00, 1 In 3.08
In 0.6656 0.5612 0.5000  1 Sn 2.94, 1 Na 3.00, 1 In 3.08
In 0.8344 0.3344 0.8957  1 Sn 2.94, 1 Na 3.00, 1 In 3.08
In 0.9388 0.8344 0.5000  1 Sn 2.94, 1 Na 3.00, 1 In 3.08
Sn 0.2500 0.7500 0.5000  4 In 2.94
Sn 0.7500 0.2500 0.5000  4 In 2.94

Properties
As for the uncorrected energy: -42.92 eV per cell. The value obtained for the energy relative to the elements is 0.021 eV per atom. The calculation puts the total moment at 0.00 μB/f.u.